The following is a DFT calculation (PBE-GGA) of a relaxed structure of Hf2ZrReRh.

```
5
Lattice="4.868 0.000 0.000 0.000 4.868 0.000 0.000 0.000 4.811" Properties=species:S:1:pos:R:3 pbc="T T T"
Hf 0.000 2.434 0.000
Hf 2.434 0.000 0.000
Zr 0.000 0.000 2.406
Re 2.434 2.434 2.406
Rh 2.434 2.434 0.000
```

Computed properties:
Volume in Å³ per cell: 114.0
Energy of formation from the pure elements in eV per atom: 0.6834

The following is a DFT calculation (PBE-GGA) of a relaxed structure of AcHgSbAu.

```
4
Lattice="0.000 3.792 3.792 3.792 0.000 3.792 3.792 3.792 0.000" Properties=species:S:1:pos:R:3 pbc="T T T"
Ac 0.000 0.000 0.000
Hg 5.688 5.688 5.688
Sb 3.792 3.792 3.792
Au 1.896 1.896 1.896
```

Computed properties:
Volume in Å³ per cell: 109.0
Formation energy from raw total energies in eV/atom: -0.55

The following is a DFT calculation (PBE-GGA) of a relaxed structure of BaInH8Ir2.

```
12
Lattice="4.809 0.000 0.000 -2.404 4.164 0.000 0.000 0.000 6.889" Properties=species:S:1:pos:R:3 pbc="T T T"
Ba 0.000 0.000 0.000
In 0.000 0.000 3.445
H -1.032 2.180 1.959
H 0.000 2.776 6.179
H 1.032 2.180 1.959
H 0.000 3.969 1.959
H 2.404 0.196 4.930
H 1.372 1.984 4.930
H 2.404 1.388 0.710
H 3.437 1.984 4.930
Ir 0.000 2.776 4.593
Ir 2.404 1.388 2.296
```

Computed properties:
Volume in Å³ per cell: 138.0
Total energy in eV/atom: -4.16

The following is a DFT calculation (PBE-GGA) of a relaxed structure of Na2S6I.

```
9
Lattice="4.808 0.000 0.000 -1.108 7.373 0.000 -1.002 -1.372 7.303" Properties=species:S:1:pos:R:3 pbc="T T T"
Na -0.498 0.886 2.300
Na 3.195 5.115 5.003
S -1.015 1.481 6.273
S 0.037 2.745 5.187
S 0.094 0.203 7.287
S 2.603 5.798 0.017
S 2.660 3.255 2.116
S 3.712 4.520 1.031
I 1.903 -0.686 3.652
```

Computed properties:
Volume in Å³ per cell: 258.9
Formation energy from raw total energies in eV/atom: -0.34